Record 1
This record from the Alexandria database describes Th4SnB3Ir12 after structural relaxation. The functional is PBE.

Computed properties:
Calculated formation energy ... -0.42 eV per atom
Magnetic moment ... 0.00 μB per cell
Total energy ... -168.51 eV/cell

Cell and atoms, written as POSCAR:
```
Th4SnB3Ir12
1.0
-4.451 4.451 4.451
4.451 -4.451 4.451
4.451 4.451 -4.451
Th Sn B Ir
4 1 3 12
Direct
0.000 0.000 0.500 Th
0.000 0.500 0.000 Th
0.500 0.000 0.000 Th
0.500 0.500 0.500 Th
0.000 0.000 0.000 Sn
0.000 0.500 0.500 B
0.500 0.000 0.500 B
0.500 0.500 0.000 B
0.000 0.281 0.281 Ir
0.000 0.719 0.719 Ir
0.250 0.500 0.750 Ir
0.250 0.750 0.500 Ir
0.281 0.000 0.281 Ir
0.281 0.281 0.000 Ir
0.500 0.250 0.750 Ir
0.500 0.750 0.250 Ir
0.719 0.000 0.719 Ir
0.719 0.719 0.000 Ir
0.750 0.250 0.500 Ir
0.750 0.500 0.250 Ir
```

***

Record 2
This record from the Alexandria database describes SrBIr after structural relaxation. The functional is PBE.

Computed properties:
Calculated formation energy ... -0.37 eV per atom
Magnetic moment ... 0.00 μB per cell
Total energy ... -18.34 eV/cell
E above lowest polymorph ... 71.0 meV per atom

Cell and atoms, written as POSCAR:
```
SrBIr
1.0
3.659 0.000 0.000
-1.829 3.169 0.000
0.000 0.000 4.837
Sr B Ir
1 1 1
Direct
0.000 0.000 0.000 Sr
0.333 0.667 0.500 B
0.667 0.333 0.500 Ir
```

***

Record 3
This record from the Alexandria database describes SrB2Ir after structural relaxation. The functional is PBE.

Computed properties:
Calculated formation energy ... -0.11 eV per atom
Magnetic moment ... 0.00 μB per cell
Total energy ... -73.05 eV/cell
E above lowest polymorph ... 164.5 meV per atom

Cell and atoms, written as POSCAR:
```
SrB2Ir
1.0
3.727 0.000 0.000
-1.863 3.227 0.000
0.000 0.000 15.562
Sr B Ir
3 6 3
Direct
0.000 0.000 0.000 Sr
0.333 0.667 0.667 Sr
0.667 0.333 0.333 Sr
0.000 0.000 0.189 B
0.000 0.000 0.811 B
0.333 0.667 0.478 B
0.333 0.667 0.855 B
0.667 0.333 0.145 B
0.667 0.333 0.522 B
0.000 0.000 0.500 Ir
0.333 0.667 0.167 Ir
0.667 0.333 0.833 Ir
```

***

Record 4
This record from the Alexandria database describes SrB4Ir4 after structural relaxation. The functional is PBE.

Computed properties:
Calculated formation energy ... -0.46 eV per atom
Magnetic moment ... 0.00 μB per cell
Total energy ... -135.90 eV/cell
E above lowest polymorph ... 0.0 meV per atom

Cell and atoms, written as POSCAR:
```
SrB4Ir4
1.0
7.738 0.000 0.000
0.000 7.738 0.000
0.000 0.000 3.990
Sr B Ir
2 8 8
Direct
0.250 0.250 0.250 Sr
0.750 0.750 0.750 Sr
0.030 0.908 0.144 B
0.092 0.530 0.644 B
0.408 0.970 0.644 B
0.470 0.592 0.144 B
0.530 0.408 0.856 B
0.592 0.030 0.356 B
0.908 0.470 0.356 B
0.970 0.092 0.856 B
0.096 0.638 0.144 Ir
0.138 0.904 0.644 Ir
0.362 0.596 0.644 Ir
0.404 0.862 0.144 Ir
0.596 0.138 0.856 Ir
0.638 0.404 0.356 Ir
0.862 0.096 0.356 Ir
0.904 0.362 0.856 Ir
```

***

Record 5
This record from the Alexandria database describes SrB2Ir after structural relaxation. The functional is PBE.

Computed properties:
Calculated formation energy ... 0.90 eV per atom
Magnetic moment ... 0.00 μB per cell
Total energy ... -81.22 eV/cell
E above lowest polymorph ... 1175.6 meV per atom

Cell and atoms, written as POSCAR:
```
SrB2Ir
1.0
6.058 0.000 0.000
0.000 6.058 0.000
0.000 0.000 6.058
Sr B Ir
4 8 4
Direct
0.000 0.000 0.000 Sr
0.000 0.500 0.500 Sr
0.500 0.000 0.500 Sr
0.500 0.500 0.000 Sr
0.250 0.250 0.250 B
0.250 0.250 0.750 B
0.250 0.750 0.250 B
0.250 0.750 0.750 B
0.750 0.250 0.250 B
0.750 0.250 0.750 B
0.750 0.750 0.250 B
0.750 0.750 0.750 B
0.000 0.000 0.500 Ir
0.000 0.500 0.000 Ir
0.500 0.000 0.000 Ir
0.500 0.500 0.500 Ir
```

***

Record 6
This record from the Alexandria database describes SrBIr after structural relaxation. The functional is PBE.

Computed properties:
Calculated formation energy ... -0.44 eV per atom
Magnetic moment ... 0.00 μB per cell
Total energy ... -37.10 eV/cell
E above lowest polymorph ... 0.0 meV per atom

Cell and atoms, written as POSCAR:
```
SrBIr
1.0
3.939 0.000 0.000
0.000 3.939 0.000
0.000 0.000 8.777
Sr B Ir
2 2 2
Direct
0.250 0.250 0.206 Sr
0.750 0.750 0.794 Sr
0.250 0.250 0.598 B
0.750 0.750 0.402 B
0.250 0.750 0.500 Ir
0.750 0.250 0.500 Ir
```

***

Record 7
This record from the Alexandria database describes Sr2B10Ir after structural relaxation. The functional is PBE.

Computed properties:
Calculated formation energy ... -0.40 eV per atom
Magnetic moment ... 0.00 μB per cell
Total energy ... -168.37 eV/cell

Cell and atoms, written as POSCAR:
```
Sr2B10Ir
1.0
5.818 0.000 0.000
0.000 11.604 0.000
0.000 0.000 4.269
Sr B Ir
4 20 2
Direct
0.206 0.135 0.000 Sr
0.294 0.635 0.000 Sr
0.706 0.365 0.000 Sr
0.794 0.865 0.000 Sr
0.053 0.308 0.500 B
0.120 0.956 0.500 B
0.144 0.803 0.500 B
0.215 0.383 0.201 B
0.215 0.383 0.799 B
0.285 0.883 0.201 B
0.285 0.883 0.799 B
0.356 0.303 0.500 B
0.380 0.456 0.500 B
0.447 0.808 0.500 B
0.553 0.192 0.500 B
0.620 0.544 0.500 B
0.644 0.697 0.500 B
0.715 0.117 0.201 B
0.715 0.117 0.799 B
0.785 0.617 0.201 B
0.785 0.617 0.799 B
0.856 0.197 0.500 B
0.880 0.044 0.500 B
0.947 0.692 0.500 B
0.000 0.500 0.500 Ir
0.500 0.000 0.500 Ir
```

***

Record 8
This record from the Alexandria database describes SrB4Ir4 after structural relaxation. The functional is PBE.

Computed properties:
Calculated formation energy ... -0.33 eV per atom
Magnetic moment ... 0.00 μB per cell
Total energy ... -133.57 eV/cell
E above lowest polymorph ... 129.8 meV per atom

Cell and atoms, written as POSCAR:
```
SrB4Ir4
1.0
5.454 0.000 0.000
0.000 5.454 0.000
0.000 0.000 7.534
Sr B Ir
2 8 8
Direct
0.250 0.750 0.250 Sr
0.750 0.250 0.750 Sr
0.075 0.250 0.094 B
0.250 0.075 0.594 B
0.250 0.425 0.594 B
0.425 0.250 0.094 B
0.575 0.750 0.906 B
0.750 0.575 0.406 B
0.750 0.925 0.406 B
0.925 0.750 0.906 B
0.002 0.750 0.610 Ir
0.250 0.502 0.890 Ir
0.250 0.998 0.890 Ir
0.498 0.750 0.610 Ir
0.502 0.250 0.390 Ir
0.750 0.002 0.110 Ir
0.750 0.498 0.110 Ir
0.998 0.250 0.390 Ir
```